Entry 1:
{
  "formula": "NaBe3Si3",
  "functional": "PBE-GGA",
  "state": "optimized geometry",
  "total_magnetization_mub_per_cell": 0.0,
  "final_energy_ev_per_atom": -3.57,
  "space_group": "Pm-3n, No. 223",
  "formation_energy_uncorrected_ev_per_atom": 0.5351,
  "lattice": [[6.3069, 0.0000, 0.0000], [0.0000, 6.3069, 0.0000], [0.0000, 0.0000, 6.3069]],
  "species": ["Be", "Be", "Na", "Si", "Si", "Be", "Si", "Si", "Si", "Si", "Be", "Be", "Na", "Be"],
  "fractional_positions": [[0.0000, 0.5000, 0.7500], [0.0000, 0.5000, 0.2500], [0.5000, 0.5000, 0.5000], [0.0000, 0.2500, 0.5000], [0.0000, 0.7500, 0.5000], [0.5000, 0.2500, 0.0000], [0.2500, 0.5000, 0.0000], [0.5000, 0.0000, 0.7500], [0.7500, 0.5000, 0.0000], [0.5000, 0.0000, 0.2500], [0.7500, 0.0000, 0.5000], [0.2500, 0.0000, 0.5000], [0.0000, 0.0000, 0.0000], [0.5000, 0.7500, 0.0000]]
}

Entry 2:
{
  "formula": "Nd2ErBi3",
  "functional": "PBE-GGA",
  "state": "optimized geometry",
  "formation_enthalpy_0k_ev_per_atom": -0.90,
  "total_magnetization_mub_per_cell": 0.0,
  "relative_energy_mev_per_atom": 4,
  "final_energy_ev_per_atom": -5.19,
  "space_group": "Immm, No. 71",
  "lattice": [[4.5576, 0.0000, 0.0000], [0.0000, 6.4496, 0.0000], [-2.2788, -3.2248, 6.8302]],
  "species": ["Nd", "Er", "Bi", "Bi", "Nd", "Bi"],
  "fractional_positions": [[0.1684, 0.1684, 0.8367], [0.5000, 0.5000, 0.5000], [0.5000, 0.0000, 0.5000], [0.8393, 0.3393, 0.1786], [0.8316, 0.8316, 0.1633], [0.1607, 0.6607, 0.8214]]
}

Entry 3:
{
  "formula": "TbPmGePt",
  "functional": "PBE-GGA",
  "state": "optimized geometry",
  "formation_enthalpy_0k_ev_per_atom": -1.03,
  "total_magnetization_mub_per_cell": 0.0,
  "relative_energy_mev_per_atom": 0,
  "final_energy_ev_per_atom": -6.04,
  "space_group": "Amm2, No. 38",
  "lattice": [[4.0371, 0.0000, 0.0000], [0.0000, 4.2830, 0.0000], [-2.0185, 0.0000, 5.5161]],
  "species": ["Ge", "Pt", "Tb", "Pm"],
  "fractional_positions": [[0.5826, 0.5000, 0.1652], [0.4165, 0.0000, 0.8331], [0.1394, 0.0000, 0.2788], [0.8615, 0.5000, 0.7230]]
}

Entry 4:
{
  "formula": "La4TcSCl2",
  "functional": "PBE-GGA",
  "state": "optimized geometry",
  "total_magnetization_mub_per_cell": 0.0,
  "final_energy_ev_per_atom": -6.05,
  "space_group": "P2/m, No. 10",
  "formation_energy_uncorrected_ev_per_atom": -1.3140,
  "lattice": [[4.1189, 0.0000, 0.0000], [0.0000, 7.5976, -0.4191], [0.0000, 2.4143, 7.0000]],
  "species": ["Cl", "La", "Tc", "Cl", "La", "La", "La", "S"],
  "fractional_positions": [[0.5000, 0.0000, 0.5000], [0.0000, 0.7080, 0.7470], [0.0000, 0.5000, 0.5000], [0.0000, 0.0000, 0.0000], [0.0000, 0.2920, 0.2530], [0.5000, 0.7176, 0.2695], [0.5000, 0.2824, 0.7305], [0.5000, 0.5000, 0.0000]]
}

Entry 5:
{
  "formula": "Zn2PtW",
  "functional": "PBE-GGA",
  "state": "optimized geometry",
  "formation_enthalpy_0k_ev_per_atom": 0.03,
  "total_magnetization_mub_per_cell": 0.0,
  "relative_energy_mev_per_atom": 143,
  "final_energy_ev_per_atom": -5.35,
  "space_group": "Immm, No. 71",
  "lattice": [[5.4103, 0.0036, -0.0005], [2.5408, 4.7766, 0.0005], [-3.2353, -3.6213, 2.3854]],
  "species": ["Pt", "W", "Zn", "Zn"],
  "fractional_positions": [[0.7500, 0.2500, 0.5000], [0.2500, 0.7500, 0.5000], [0.9933, 0.9933, 0.0000], [0.5067, 0.5067, 0.0000]]
}

Entry 6:
{
  "formula": "La5DyHo3",
  "functional": "PBE-GGA",
  "state": "optimized geometry",
  "formation_enthalpy_0k_ev_per_atom": 0.30,
  "total_magnetization_mub_per_cell": 0.0,
  "relative_energy_mev_per_atom": 155,
  "final_energy_ev_per_atom": -4.47,
  "space_group": "I4/mcm, No. 140",
  "lattice": [[-3.9861, -7.2177, -4.5661], [0.2730, -5.1440, 7.8929], [-4.6601, 8.6282, 0.1569]],
  "species": ["La", "La", "Ho", "La", "Ho", "Ho", "Dy", "La", "Ho", "La", "Ho", "Dy", "La", "La", "La", "La", "Ho", "La"],
  "fractional_positions": [[0.0653, 0.5653, 0.7307], [0.6654, 0.1654, 0.7307], [0.3908, 0.8908, 0.0000], [0.9347, 0.4347, 0.2693], [0.1092, 0.3908, 0.0000], [0.2500, 0.2500, 0.5000], [0.2500, 0.7500, 0.5000], [0.1654, 0.0653, 0.7307], [0.7500, 0.7500, 0.5000], [0.0000, 0.0000, 0.0000], [0.6092, 0.1092, 0.0000], [0.7500, 0.2500, 0.5000], [0.8346, 0.9347, 0.2693], [0.5000, 0.5000, 0.0000], [0.3346, 0.8346, 0.2693], [0.5653, 0.6654, 0.7307], [0.8908, 0.6092, 0.0000], [0.4347, 0.3346, 0.2693]]
}

Entry 7:
{
  "formula": "TaZn2Te",
  "functional": "PBE-GGA",
  "state": "optimized geometry",
  "total_magnetization_mub_per_cell": 0.0,
  "final_energy_ev_per_atom": -4.00,
  "space_group": "P4/mmm, No. 123",
  "formation_energy_uncorrected_ev_per_atom": 0.3845,
  "lattice": [[3.8147, 0.0000, 0.0000], [0.0000, 4.3859, 0.0000], [0.0000, 0.0000, 4.3859]],
  "species": ["Zn", "Zn", "Te", "Ta"],
  "fractional_positions": [[0.0000, 0.0000, 0.0000], [0.0000, 0.5000, 0.5000], [0.5000, 0.0000, 0.5000], [0.5000, 0.5000, 0.0000]]
}

Entry 8:
{
  "formula": "SrZr3Hg",
  "functional": "PBE-GGA",
  "state": "optimized geometry",
  "formation_enthalpy_0k_ev_per_atom": 0.82,
  "total_magnetization_mub_per_cell": 2.1,
  "relative_energy_mev_per_atom": 0,
  "final_energy_ev_per_atom": -4.71,
  "space_group": "Pm-3m, No. 221",
  "lattice": [[5.4358, 0.0000, 0.0000], [0.0000, 5.4358, 0.0000], [0.0000, 0.0000, 5.4358]],
  "species": ["Zr", "Hg", "Sr", "Zr", "Zr"],
  "fractional_positions": [[0.5000, 0.0000, 0.0000], [0.0000, 0.0000, 0.0000], [0.5000, 0.5000, 0.5000], [0.0000, 0.5000, 0.0000], [0.0000, 0.0000, 0.5000]]
}

N(E_F) list, top to bottom, in states/eV/cell: 8.5, 1.3, 2.1, 5.9, 2.7, 31.0, 2.6, 6.6
Volume list, top to bottom, in A^3/atom: 17.920, 33.462, 23.845, 27.903, 15.407, 35.510, 18.345, 32.123